# GGA+U W3AuO, relaxed
# **E above lowest polymorph**: 0.000 eV/atom
# **Raw total energy**: -0.38993 Ry/atom
data_W3AuO
_cell_length_a 4.223
_cell_length_b 4.223
_cell_length_c 4.223
_cell_angle_alpha 90.00
_cell_angle_beta 90.00
_cell_angle_gamma 90.00
_symmetry_space_group_name_H-M 'P 1'
_symmetry_Int_Tables_number 1
loop_
_symmetry_equiv_pos_as_xyz
'x,y,z'
loop_
_atom_site_label
_atom_site_type_symbol
_atom_site_fract_x
_atom_site_fract_y
_atom_site_fract_z
W1 W 0.000 0.000 0.500
W2 W 0.000 0.500 0.000
W3 W 0.500 0.000 0.000
Au1 Au 0.500 0.500 0.500
O1 O 0.000 0.000 0.000